# 1
{"formula": "TcAuSe2N", "functional": "GGA-PBEsol", "state": "relaxed", "e_tot_ev_per_atom": -5.901, "polymorph_energy_mev_per_atom": 0, "lattice_angstrom": [[4.944, 0.000, 0.000], [0.000, 4.944, 0.000], [0.000, 0.000, 3.636]], "species": ["Tc", "Au", "Se", "Se", "N"], "frac_coords": [[0.000, 0.000, 0.000], [0.500, 0.500, 0.500], [0.000, 0.500, 0.000], [0.500, 0.000, 0.000], [0.000, 0.000, 0.500]]}


# 2
{"formula": "Sr2HgOs", "functional": "GGA-PBEsol", "state": "relaxed", "e_tot_ev_per_atom": -3.605, "lattice_angstrom": [[0.000, 3.604, 3.604], [3.604, 0.000, 3.604], [3.604, 3.604, 0.000]], "species": ["Sr", "Sr", "Hg", "Os"], "frac_coords": [[0.000, 0.000, 0.000], [0.250, 0.250, 0.250], [0.750, 0.750, 0.750], [0.500, 0.500, 0.500]]}


# 3
{"formula": "Cs2P2Pd", "functional": "GGA-PBEsol", "state": "relaxed", "e_tot_ev_per_atom": -4.428, "lattice_angstrom": [[3.373, -7.449, 0.000], [3.373, 7.449, 0.000], [0.000, 0.000, 6.082]], "species": ["Cs", "Cs", "Cs", "Cs", "P", "P", "P", "P", "Pd", "Pd"], "frac_coords": [[0.082, 0.918, 0.750], [0.287, 0.713, 0.250], [0.713, 0.287, 0.750], [0.918, 0.082, 0.250], [0.239, 0.440, 0.750], [0.440, 0.239, 0.250], [0.560, 0.761, 0.750], [0.761, 0.560, 0.250], [0.500, 0.500, 0.000], [0.500, 0.500, 0.500]]}


# 4
{"formula": "Co2HgMo", "functional": "GGA-PBEsol", "state": "relaxed", "e_tot_ev_per_atom": -6.555, "lattice_angstrom": [[1.390, 0.802, 8.440], [-1.390, 0.802, 8.440], [0.000, -1.604, 8.440]], "species": ["Co", "Co", "Hg", "Mo"], "frac_coords": [[0.244, 0.244, 0.244], [0.756, 0.756, 0.756], [0.000, 0.000, 0.000], [0.500, 0.500, 0.500]]}


# 5
{"formula": "NpO2F2", "functional": "GGA-PBEsol", "state": "relaxed", "e_tot_ev_per_atom": -8.519, "lattice_angstrom": [[2.075, 1.198, 5.452], [-2.075, 1.198, 5.452], [0.000, -2.396, 5.452]], "species": ["Np", "O", "O", "F", "F"], "frac_coords": [[0.000, 0.000, 0.000], [0.108, 0.108, 0.108], [0.892, 0.892, 0.892], [0.334, 0.334, 0.334], [0.666, 0.666, 0.666]]}


# 6
{"formula": "Hf6Ga16Ni7", "functional": "GGA-PBEsol", "state": "relaxed", "e_tot_ev_per_atom": -6.023, "lattice_angstrom": [[0.000, 5.947, 5.947], [5.947, 0.000, 5.947], [5.947, 5.947, 0.000]], "species": ["Hf", "Hf", "Hf", "Hf", "Hf", "Hf", "Ga", "Ga", "Ga", "Ga", "Ga", "Ga", "Ga", "Ga", "Ga", "Ga", "Ga", "Ga", "Ga", "Ga", "Ga", "Ga", "Ni", "Ni", "Ni", "Ni", "Ni", "Ni", "Ni"], "frac_coords": [[0.192, 0.192, 0.808], [0.192, 0.808, 0.192], [0.192, 0.808, 0.808], [0.808, 0.192, 0.192], [0.808, 0.192, 0.808], [0.808, 0.808, 0.192], [0.138, 0.621, 0.621], [0.161, 0.161, 0.161], [0.161, 0.161, 0.516], [0.161, 0.516, 0.161], [0.379, 0.379, 0.379], [0.379, 0.379, 0.862], [0.379, 0.862, 0.379], [0.484, 0.839, 0.839], [0.516, 0.161, 0.161], [0.621, 0.138, 0.621], [0.621, 0.621, 0.138], [0.621, 0.621, 0.621], [0.839, 0.484, 0.839], [0.839, 0.839, 0.484], [0.839, 0.839, 0.839], [0.862, 0.379, 0.379], [0.000, 0.000, 0.500], [0.000, 0.500, 0.000], [0.000, 0.500, 0.500], [0.500, 0.000, 0.000], [0.500, 0.000, 0.500], [0.500, 0.500, 0.000], [0.500, 0.500, 0.500]]}


# 7
{"formula": "TiAgSn2", "functional": "GGA-PBEsol", "state": "relaxed", "e_tot_ev_per_atom": -4.938, "lattice_angstrom": [[0.000, 3.432, 3.432], [3.432, 0.000, 3.432], [3.432, 3.432, 0.000]], "species": ["Ti", "Ag", "Sn", "Sn"], "frac_coords": [[0.000, 0.000, 0.000], [0.500, 0.500, 0.500], [0.250, 0.250, 0.250], [0.750, 0.750, 0.750]]}


# 8
{"formula": "TcOsPb2", "functional": "GGA-PBEsol", "state": "relaxed", "e_tot_ev_per_atom": -7.035, "polymorph_energy_mev_per_atom": 0, "lattice_angstrom": [[-1.534, 2.267, 5.742], [1.534, -2.267, 5.742], [1.534, 2.267, -5.742]], "species": ["Tc", "Os", "Pb", "Pb"], "frac_coords": [[0.000, 0.000, 0.000], [0.180, 0.680, 0.500], [0.488, 0.488, 0.000], [0.766, 0.266, 0.500]]}


# 9
{"formula": "ReC3F", "functional": "GGA-PBEsol", "state": "relaxed", "e_tot_ev_per_atom": -7.246, "lattice_angstrom": [[3.983, 0.000, 0.000], [0.000, 3.983, 0.000], [0.000, 0.000, 3.983]], "species": ["Re", "C", "C", "C", "F"], "frac_coords": [[0.000, 0.000, 0.000], [0.000, 0.000, 0.500], [0.000, 0.500, 0.000], [0.500, 0.000, 0.000], [0.500, 0.500, 0.500]]}


# 10
{"formula": "CrCoNi2", "functional": "GGA-PBEsol", "state": "relaxed", "e_tot_ev_per_atom": -7.493, "lattice_angstrom": [[2.426, -3.605, 0.000], [2.426, 3.605, 0.000], [0.000, 0.000, 2.409]], "species": ["Cr", "Co", "Ni", "Ni"], "frac_coords": [[0.000, 0.000, 0.000], [0.500, 0.500, 0.000], [0.000, 0.500, 0.500], [0.500, 0.000, 0.500]]}


# 11
{"formula": "KSb2", "functional": "GGA-PBEsol", "state": "relaxed", "e_tot_ev_per_atom": -3.585, "lattice_angstrom": [[4.721, 0.000, 0.000], [-2.360, 4.088, 0.000], [0.000, 0.000, 5.832]], "species": ["K", "Sb", "Sb"], "frac_coords": [[0.000, 0.000, 0.000], [0.333, 0.667, 0.407], [0.667, 0.333, 0.593]]}


# 12
{"formula": "ScIr", "functional": "GGA-PBEsol", "state": "relaxed", "e_tot_ev_per_atom": -9.223, "lattice_angstrom": [[3.187, 0.000, 0.000], [0.000, 3.187, 0.000], [0.000, 0.000, 3.187]], "species": ["Sc", "Ir"], "frac_coords": [[0.000, 0.000, 0.000], [0.500, 0.500, 0.500]]}


# 13
{"formula": "Li4Si2NiO7", "functional": "GGA-PBEsol", "state": "relaxed", "e_tot_ev_per_atom": -6.670, "polymorph_energy_mev_per_atom": 5, "lattice_angstrom": [[4.771, -2.206, 0.000], [4.771, 2.206, 0.000], [-2.209, 0.000, 13.152]], "species": ["Li", "Li", "Li", "Li", "Li", "Li", "Li", "Li", "Si", "Si", "Si", "Si", "Ni", "Ni", "O", "O", "O", "O", "O", "O", "O", "O", "O", "O", "O", "O", "O", "O"], "frac_coords": [[0.119, 0.181, 0.970], [0.146, 0.146, 0.465], [0.263, 0.301, 0.179], [0.290, 0.297, 0.677], [0.699, 0.737, 0.821], [0.703, 0.710, 0.323], [0.819, 0.881, 0.030], [0.854, 0.854, 0.535], [0.418, 0.437, 0.893], [0.445, 0.402, 0.395], [0.563, 0.582, 0.107], [0.598, 0.555, 0.605], [0.014, 0.024, 0.755], [0.976, 0.986, 0.245], [0.122, 0.626, 0.802], [0.139, 0.591, 0.306], [0.293, 0.707, 0.000], [0.326, 0.674, 0.500], [0.374, 0.878, 0.198], [0.409, 0.861, 0.694], [0.482, 0.109, 0.920], [0.519, 0.072, 0.424], [0.646, 0.242, 0.135], [0.681, 0.219, 0.640], [0.758, 0.354, 0.865], [0.781, 0.319, 0.360], [0.891, 0.518, 0.080], [0.928, 0.481, 0.576]]}


# 14
{"formula": "CsLiZnS2", "functional": "GGA-PBEsol", "state": "relaxed", "e_tot_ev_per_atom": -3.817, "lattice_angstrom": [[-2.000, 2.000, 6.954], [2.000, -2.000, 6.954], [2.000, 2.000, -6.954]], "species": ["Cs", "Li", "Zn", "S", "S"], "frac_coords": [[0.000, 0.000, 0.000], [0.750, 0.250, 0.500], [0.250, 0.750, 0.500], [0.344, 0.344, 0.000], [0.656, 0.656, 0.000]]}


# 15
{"formula": "SnGe2S", "functional": "GGA-PBEsol", "state": "relaxed", "e_tot_ev_per_atom": -4.384, "lattice_angstrom": [[0.000, 3.390, 3.390], [3.390, 0.000, 3.390], [3.390, 3.390, 0.000]], "species": ["Sn", "Ge", "Ge", "S"], "frac_coords": [[0.000, 0.000, 0.000], [0.250, 0.250, 0.250], [0.750, 0.750, 0.750], [0.500, 0.500, 0.500]]}


# 16
{"formula": "AlRuN2", "functional": "GGA-PBEsol", "state": "relaxed", "e_tot_ev_per_atom": -8.184, "lattice_angstrom": [[-2.279, 2.279, 4.241], [2.279, -2.279, 4.241], [2.279, 2.279, -4.241]], "species": ["Al", "Al", "Ru", "Ru", "N", "N", "N", "N"], "frac_coords": [[0.000, 0.000, 0.000], [0.750, 0.250, 0.500], [0.250, 0.750, 0.500], [0.500, 0.500, 0.000], [0.105, 0.625, 0.980], [0.375, 0.355, 0.480], [0.645, 0.125, 0.020], [0.875, 0.895, 0.520]]}


# 17
{"formula": "CaLaTl2H", "functional": "GGA-PBEsol", "state": "relaxed", "e_tot_ev_per_atom": -3.482, "lattice_angstrom": [[5.422, 0.000, 0.000], [0.000, 5.422, 0.000], [0.000, 0.000, 4.116]], "species": ["Ca", "La", "Tl", "Tl", "H"], "frac_coords": [[0.000, 0.000, 0.000], [0.500, 0.500, 0.000], [0.000, 0.500, 0.500], [0.500, 0.000, 0.500], [0.000, 0.000, 0.500]]}


# 18
{"formula": "RbCu3O", "functional": "GGA-PBEsol", "state": "relaxed", "e_tot_ev_per_atom": -1.455, "lattice_angstrom": [[5.027, 0.000, 0.000], [0.000, 5.027, 0.000], [0.000, 0.000, 5.027]], "species": ["Rb", "Cu", "Cu", "Cu", "O"], "frac_coords": [[0.000, 0.000, 0.000], [0.000, 0.000, 0.500], [0.000, 0.500, 0.000], [0.500, 0.000, 0.000], [0.500, 0.500, 0.500]]}


# 19
{"formula": "Ca3MgCu2", "functional": "GGA-PBEsol", "state": "relaxed", "e_tot_ev_per_atom": -2.810, "lattice_angstrom": [[4.930, -4.920, 0.000], [4.930, 4.920, 0.000], [0.000, 0.000, 6.013]], "species": ["Ca", "Ca", "Ca", "Ca", "Ca", "Ca", "Mg", "Mg", "Cu", "Cu", "Cu", "Cu"], "frac_coords": [[0.076, 0.576, 0.250], [0.083, 0.917, 0.750], [0.424, 0.924, 0.250], [0.576, 0.076, 0.750], [0.917, 0.083, 0.250], [0.924, 0.424, 0.750], [0.433, 0.567, 0.750], [0.567, 0.433, 0.250], [0.262, 0.262, 0.000], [0.262, 0.262, 0.500], [0.738, 0.738, 0.000], [0.738, 0.738, 0.500]]}


# 20
{"formula": "Cu2NiW", "functional": "GGA-PBEsol", "state": "relaxed", "e_tot_ev_per_atom": -7.059, "lattice_angstrom": [[2.619, 0.000, 0.000], [0.000, 2.619, 0.000], [0.000, 0.000, 7.092]], "species": ["Cu", "Cu", "Ni", "W"], "frac_coords": [[0.000, 0.000, 0.000], [0.500, 0.500, 0.236], [0.000, 0.000, 0.467], [0.500, 0.500, 0.723]]}